(1)
Compound: Li2ThZn2
Source: Alexandria
Functional: PBE
Structure: relaxed

The structure in POSCAR format:
```
Li2ThZn2
1.0
-0.704 1.664 4.235
1.911 -2.534 1.313
10.009 7.845 -3.920
Li Th Zn
4 2 4
direct
0.545 0.295 0.089
0.947 0.197 0.894
0.455 0.705 0.911
0.053 0.803 0.106
0.827 0.577 0.654
0.173 0.423 0.346
0.725 0.975 0.449
0.275 0.025 0.551
0.380 0.130 0.759
0.620 0.870 0.241
```

## Properties
* ΔH_f (0 K): -12.89 kJ/mol of atoms

***

(2)
Compound: CsGeSe2
Source: Alexandria
Functional: PBE
Structure: relaxed

The structure in POSCAR format:
```
CsGeSe2
1.0
-4.729 -7.627 3.511
4.212 -5.320 3.839
-5.943 -0.238 1.342
Cs Ge Se
1 1 2
direct
0.694 0.498 0.948
0.194 0.516 0.208
0.694 0.795 0.597
0.693 0.164 0.282
```

## Properties
* energy relative to the elements, uncorrected: -0.62 eV per atom

***

N(E_F) / states/eV/cell: 7.470, 0.838